[1]
Computed, not measured: a relaxed Na2Be2B crystal at the GGA-PBE level of DFT.

Computed properties:
- E_tot (eV per atom) = -2.428
- N(E_F) (states/eV/atom) = 0.501
- E_form (meV/atom) = 926
- energy above the lowest structure with this stoichiometry (meV per atom) = 0
- space-group type = I4/mmm (139)
- size of the total moment (μB per cell) = 0.00
- calculated volume (Å³/cell) = 76.7
- mass density (g cm⁻³) = 1.62

Lattice parameters (Å, degrees): 2.884 2.884 9.445 81.22 81.22 90.00
Positions (direct):
1 Na 0.399 0.399 0.201
2 Na 0.601 0.601 0.799
3 B 0.000 0.000 0.000
4 Be 0.250 0.750 0.500
5 Be 0.750 0.250 0.500



[2]
Computed, not measured: a relaxed GdMgCdSn crystal at the GGA-PBE level of DFT.

Computed properties:
- E_tot (eV per atom) = -5.485
- N(E_F) (states/eV/atom) = 0.863
- E_form (meV/atom) = -337
- space-group type = F-43m (216)
- size of the total moment (μB per cell) = 7.02
- calculated volume (Å³/cell) = 99.6
- mass density (g cm⁻³) = 6.88

Lattice parameters (Å, degrees): 5.202 5.202 5.202 60.00 60.00 60.00
Positions (direct):
1 Cd 0.500 0.500 0.500
2 Sn 0.000 0.000 0.000
3 Gd 0.750 0.750 0.750
4 Mg 0.250 0.250 0.250



[3]
Computed, not measured: a relaxed InAs2P crystal at the GGA-PBE level of DFT.

Computed properties:
- E_tot (eV per atom) = -3.919
- N(E_F) (states/eV/atom) = 0.569
- E_form (meV/atom) = 442
- energy above the lowest structure with this stoichiometry (meV per atom) = 427
- space-group type = I-4m2 (119)
- size of the total moment (μB per cell) = 0.00
- calculated volume (Å³/cell) = 78.7
- mass density (g cm⁻³) = 6.24

Lattice parameters (Å, degrees): 4.811 4.811 4.811 120.08 120.08 89.87
Positions (direct):
1 As 0.000 0.000 0.000
2 As 0.250 0.750 0.500
3 P 0.750 0.250 0.500
4 In 0.500 0.500 0.000



[4]
Computed, not measured: a relaxed VGa3Sb crystal at the GGA-PBE level of DFT.

Computed properties:
- E_tot (eV per atom) = -3.969
- N(E_F) (states/eV/atom) = 1.186
- energy above the lowest structure with this stoichiometry (meV per atom) = 0
- space-group type = Pm-3m (221)
- size of the total moment (μB per cell) = 0.01
- calculated volume (Å³/cell) = 114.5
- mass density (g cm⁻³) = 5.54

Lattice parameters (Å, degrees): 4.856 4.856 4.856 90.00 90.00 90.00
Positions (direct):
1 Ga 0.500 0.000 0.000
2 Ga 0.000 0.000 0.500
3 Ga 0.000 0.500 0.000
4 Sb 0.500 0.500 0.500
5 V 0.000 0.000 0.000



[5]
Computed, not measured: a relaxed La3YTm3 crystal at the GGA-PBE level of DFT.

Computed properties:
- E_tot (eV per atom) = -4.922
- N(E_F) (states/eV/atom) = 1.638
- E_form (meV/atom) = 30
- energy above the lowest structure with this stoichiometry (meV per atom) = 0
- space-group type = P2_1/m (11)
- size of the total moment (μB per cell) = 0.00
- calculated volume (Å³/cell) = 471.1
- mass density (g cm⁻³) = 7.14

Lattice parameters (Å, degrees): 5.796 9.687 9.687 119.99 90.00 90.00
Positions (direct):
1 Tm 0.750 0.613 0.095
2 Tm 0.250 0.518 0.614
3 Tm 0.250 0.387 0.905
4 Tm 0.750 0.904 0.518
5 Tm 0.750 0.482 0.386
6 Tm 0.250 0.096 0.482
7 La 0.750 0.047 0.246
8 La 0.750 0.198 0.952
9 La 0.250 0.245 0.197
10 La 0.250 0.802 0.048
11 La 0.250 0.953 0.754
12 La 0.750 0.755 0.803
13 Y 0.250 0.666 0.333
14 Y 0.750 0.334 0.667



[6]
Computed, not measured: a relaxed Tb2PrEr crystal at the GGA-PBE level of DFT.

Computed properties:
- E_tot (eV per atom) = -4.629
- N(E_F) (states/eV/atom) = 1.505
- E_form (meV/atom) = 22
- energy above the lowest structure with this stoichiometry (meV per atom) = 2
- space-group type = P4/mmm (123)
- size of the total moment (μB per cell) = 0.00
- calculated volume (Å³/cell) = 130.3
- mass density (g cm⁻³) = 7.98

Lattice parameters (Å, degrees): 5.080 5.065 5.065 90.00 90.00 90.00
Positions (direct):
1 Tb 0.000 0.000 0.500
2 Tb 0.000 0.500 0.000
3 Er 0.500 0.500 0.500
4 Pr 0.500 0.000 0.000